No. 1
First-principles (PBE) data for Pr5Dy12Y after structural relaxation, as listed in the Alexandria database.

abc: 11.7710 10.5003 5.7851
angles: 90.00 90.00 55.91
Last column: nearest neighbours and their distance in Å.
Element x y z (fractional)
1 Pr 0.5000 0.0000 0.5000  10 Dy 3.55-3.75, 4 Pr 3.78
2 Pr 0.1370 0.7259 0.5000  8 Dy 3.34-3.67
3 Pr 0.8630 0.2741 0.5000  8 Dy 3.34-3.67
4 Pr 0.6399 0.7202 0.0000  8 Dy 3.40-3.65, 2 Pr 3.78
5 Pr 0.3601 0.2798 0.0000  8 Dy 3.40-3.65, 2 Pr 3.78
6 Dy 0.8014 0.0000 0.4971  2 Dy 3.12, 2 Pr 3.34
7 Dy 0.1986 0.0000 0.5029  2 Dy 3.12, 2 Pr 3.34
8 Dy 0.7012 0.0000 0.9970  2 Dy 3.12, 2 Pr 3.40
9 Dy 0.2988 0.0000 0.0030  2 Dy 3.12, 2 Pr 3.40
10 Dy 0.3347 0.6430 0.9996  5 Dy 3.33-3.68, 3 Pr 3.50-3.65, 1 Y 3.61
11 Dy 0.0222 0.6430 0.0004  5 Dy 3.33-3.68, 3 Pr 3.50-3.65, 1 Y 3.61
12 Dy 0.9778 0.3570 0.9996  5 Dy 3.33-3.68, 3 Pr 3.50-3.65, 1 Y 3.61
13 Dy 0.6653 0.3570 0.0004  5 Dy 3.33-3.68, 3 Pr 3.50-3.65, 1 Y 3.61
14 Dy 0.4751 0.3590 0.5005  5 Dy 3.33-3.65, 4 Pr 3.48-3.67
15 Dy 0.8341 0.6410 0.5005  5 Dy 3.33-3.65, 4 Pr 3.48-3.67
16 Dy 0.1659 0.3590 0.4995  5 Dy 3.33-3.65, 4 Pr 3.48-3.67
17 Dy 0.5249 0.6410 0.4995  5 Dy 3.33-3.65, 4 Pr 3.48-3.67
18 Y 0.0000 0.0000 0.0000  10 Dy 3.52-3.73, 4 Pr 3.75

Values from the calculation:
raw total energy	-4.665	eV per atom
M_tot	0.00	μB/f.u.
SG	No. 12

No. 2
First-principles (PBE) data for Ac3IrPbBr after structural relaxation, as listed in the Alexandria database.

abc: 4.6988 8.5799 10.8893
angles: 110.64 90.00 90.00
Last column: nearest neighbours and their distance in Å.
Element x y z (fractional)
1 Ac 0.2500 0.6986 0.4791  3 Br 3.13-3.39
2 Ac 0.7500 0.9172 0.1156  2 Ir 3.01, 1 Br 3.15
3 Ac 0.7500 0.4710 0.1391  3 Ir 2.87-3.12
4 Ac 0.7500 0.3014 0.5209  3 Br 3.13-3.39
5 Ac 0.2500 0.5290 0.8609  3 Ir 2.87-3.12
6 Ac 0.2500 0.0828 0.8844  2 Ir 3.01, 1 Br 3.15
7 Ir 0.2500 0.7103 0.1385  5 Ac 2.87-3.12
8 Ir 0.7500 0.2897 0.8615  5 Ac 2.87-3.12
9 Pb 0.7500 0.7369 0.7285  7 Ac 3.52-3.70
10 Pb 0.2500 0.2631 0.2715  7 Ac 3.52-3.70
11 Br 0.2500 0.1211 0.6072  4 Ac 3.13-3.39, 2 Br 3.44
12 Br 0.7500 0.8789 0.3928  4 Ac 3.13-3.39, 2 Br 3.44

Values from the calculation:
raw total energy	-5.178	eV per atom
M_tot	0.00	μB/f.u.
uncorrected formation energy	-0.750	eV/atom
SG	No. 11

No. 3
First-principles (PBE) data for YHgGe2 after structural relaxation, as listed in the Alexandria database.

abc: 4.1730 4.5236 4.5236
angles: 90.00 90.00 90.00
Last column: nearest neighbours and their distance in Å.
Element x y z (fractional)
1 Y 0.5000 0.0000 0.0000  8 Ge 3.08, 4 Hg 3.20
2 Ge 0.0000 0.0000 0.5000  4 Hg 3.08, 4 Y 3.08, 4 Ge 3.20
3 Ge 0.0000 0.5000 0.0000  4 Hg 3.08, 4 Y 3.08, 4 Ge 3.20
4 Hg 0.5000 0.5000 0.5000  8 Ge 3.08, 4 Y 3.20

Values from the calculation:
raw total energy	-4.382	eV per atom
M_tot	0.00	μB/f.u.
SG	No. 123